Density functional theory data (PBE-GGA) for a relaxed LiAuSeO4 crystal.

abc: 5.3568 5.3568 5.4606
angles: 119.37 119.37 90.00
Atoms (fractional coordinates):
Li (0.5000, 0.5000, 0.0000)
Au (0.0000, 0.0000, 0.0000)
Se (0.2500, 0.7500, 0.5000)
O (0.2235, 0.0838, 0.7435)
O (0.3403, 0.7765, 0.2565)
O (0.5200, 0.6597, 0.7435)
O (0.9162, 0.4800, 0.2565)

space group	No. 82
total magnetization	0.00	μB per formula unit

***

Density functional theory data (PBE-GGA) for a relaxed Li2SnAuO crystal.

abc: 4.0254 4.8183 4.0254
angles: 90.00 90.00 90.00
Atoms (fractional coordinates):
Au (0.5000, 0.5000, 0.5000)
Sn (0.0000, 0.5000, 0.0000)
O (0.0000, 0.0000, 0.0000)
Li (0.0000, 0.0000, 0.5000)
Li (0.5000, 0.0000, 0.0000)

space group	No. 123
total magnetization	0.00	μB per formula unit

***

Density functional theory data (PBE-GGA) for a relaxed SrLiAuO2 crystal.

abc: 4.4264 5.2232 4.4264
angles: 90.00 90.00 90.00
Atoms (fractional coordinates):
Sr (0.0000, 0.5000, 0.0000)
Au (0.0000, 0.0000, 0.0000)
O (0.0000, 0.0000, 0.5000)
O (0.5000, 0.0000, 0.0000)
Li (0.5000, 0.5000, 0.5000)

excess energy over the best structure of this formula in the dataset	1.756	eV/atom
space group	No. 123
total magnetization	0.00	μB per formula unit

***

Density functional theory data (PBE-GGA) for a relaxed SrLi2AuO4 crystal.

abc: 5.5933 5.2688 5.2688
angles: 86.35 57.94 57.94
Each line ends with the local moment (μB).
Atoms (fractional coordinates):
Sr (0.0000, 0.0000, 0.0000)  0.00
Li (0.5000, 0.7572, 0.2428)  0.01
Li (0.5000, 0.2428, 0.7572)  0.01
Au (0.0000, 0.5000, 0.5000)  0.32
O (0.6145, 0.4802, 0.8733)  0.15
O (0.3855, 0.1267, 0.5198)  0.15
O (0.9680, 0.5198, 0.1267)  0.15
O (0.0320, 0.8733, 0.4802)  0.15

space group	No. 23
total magnetization	1.06	μB per formula unit

***

Density functional theory data (PBE-GGA) for a relaxed SrLi2AuO crystal.

abc: 4.3424 4.3424 4.9446
angles: 90.00 90.00 90.00
Atoms (fractional coordinates):
Sr (0.0000, 0.0000, 0.5000)
Au (0.5000, 0.5000, 0.5000)
O (0.0000, 0.0000, 0.0000)
Li (0.0000, 0.5000, 0.0000)
Li (0.5000, 0.0000, 0.0000)

space group	No. 123
total magnetization	0.19	μB per formula unit

***

Density functional theory data (PBE-GGA) for a relaxed Sr2LiAuO4 crystal.

abc: 5.3995 5.3995 5.3995
angles: 105.71 111.39 111.39
Atoms (fractional coordinates):
Sr (0.5000, 0.7500, 0.2500)
Sr (0.0000, 0.0000, 0.0000)
Li (0.0000, 0.5000, 0.5000)
Au (0.5000, 0.2500, 0.7500)
O (0.6142, 0.4947, 0.5378)
O (0.0430, 0.1195, 0.5053)
O (0.9570, 0.4622, 0.0765)
O (0.3858, 0.9235, 0.8805)

space group	No. 82
total magnetization	0.00	μB per formula unit

***

Density functional theory data (PBE-GGA) for a relaxed SrLiAuO2 crystal.

abc: 4.4999 5.7208 6.1569
angles: 99.69 90.00 90.00
Atoms (fractional coordinates):
Sr (0.2779, 0.5000, 0.7500)
Sr (0.7221, 0.5000, 0.2500)
Li (0.4795, 0.0000, 0.2500)
Li (0.5205, 0.0000, 0.7500)
Au (0.0000, 0.0000, 0.0000)
Au (0.0000, 0.0000, 0.5000)
O (0.6655, 0.7523, 0.9582)
O (0.6655, 0.2477, 0.5418)
O (0.3345, 0.7523, 0.4582)
O (0.3345, 0.2477, 0.0418)

excess energy over the best structure of this formula in the dataset	0.000	eV/atom
space group	No. 13
total magnetization	0.00	μB per formula unit

***

Density functional theory data (PBE-GGA) for a relaxed Li2TbAuO4 crystal.

abc: 4.9006 4.9006 4.9006
angles: 103.73 112.42 112.42
Atoms (fractional coordinates):
Li (0.5000, 0.7500, 0.2500)
Li (0.5000, 0.2500, 0.7500)
Tb (0.0000, 0.0000, 0.0000)
Au (0.0000, 0.5000, 0.5000)
O (0.0000, 0.0482, 0.5373)
O (0.5108, 0.4627, 0.4627)
O (0.4892, 0.9518, 0.9518)
O (0.0000, 0.5373, 0.0482)

space group	No. 121
total magnetization	0.00	μB per formula unit

***

Density functional theory data (PBE-GGA) for a relaxed LiTb2AuO5 crystal.

abc: 5.8814 6.5542 6.5542
angles: 90.00 90.00 90.00
Atoms (fractional coordinates):
Li (0.0000, 0.5000, 0.5000)
Li (0.0000, 0.0000, 0.0000)
Tb (0.5000, 0.6769, 0.1769)
Tb (0.5000, 0.1769, 0.3231)
Tb (0.5000, 0.8231, 0.6769)
Tb (0.5000, 0.3231, 0.8231)
Au (0.0000, 0.0000, 0.5000)
Au (0.0000, 0.5000, 0.0000)
O (0.5000, 0.5000, 0.5000)
O (0.5000, 0.0000, 0.0000)
O (0.2593, 0.1384, 0.6384)
O (0.2593, 0.8616, 0.3616)
O (0.2593, 0.3616, 0.1384)
O (0.2593, 0.6384, 0.8616)
O (0.7407, 0.1384, 0.6384)
O (0.7407, 0.6384, 0.8616)
O (0.7407, 0.8616, 0.3616)
O (0.7407, 0.3616, 0.1384)

space group	No. 127
total magnetization	0.00	μB per formula unit

***

Density functional theory data (PBE-GGA) for a relaxed Li4ThAu3O12 crystal.

abc: 6.5926 6.5926 6.5926
angles: 109.47 109.47 109.47
Each line ends with the local moment (μB).
Atoms (fractional coordinates):
Li (0.5000, 0.0000, 0.0000)  0.00
Li (0.5000, 0.5000, 0.5000)  0.00
Li (0.0000, 0.5000, 0.0000)  0.00
Li (0.0000, 0.0000, 0.5000)  0.00
Th (0.0000, 0.0000, 0.0000)  -0.02
Au (0.0000, 0.5000, 0.5000)  0.33
Au (0.5000, 0.5000, 0.0000)  0.33
Au (0.5000, 0.0000, 0.5000)  0.33
O (0.2978, 0.8347, 0.1325)  0.43
O (0.7022, 0.1653, 0.8675)  0.43
O (0.7022, 0.8347, 0.5369)  0.43
O (0.8675, 0.7022, 0.1653)  0.43
O (0.8347, 0.1325, 0.2978)  0.43
O (0.1653, 0.4631, 0.2978)  0.43
O (0.4631, 0.2978, 0.1653)  0.43
O (0.1653, 0.8675, 0.7022)  0.43
O (0.2978, 0.1653, 0.4631)  0.43
O (0.1325, 0.2978, 0.8347)  0.43
O (0.8347, 0.5369, 0.7022)  0.43
O (0.5369, 0.7022, 0.8347)  0.43

space group	No. 204
total magnetization	7.07	μB per formula unit

***

Density functional theory data (PBE-GGA) for a relaxed LiTi2AuO crystal.

abc: 4.1035 4.1035 3.9930
angles: 90.00 90.00 90.00
Atoms (fractional coordinates):
Li (0.0000, 0.0000, 0.5000)
Au (0.5000, 0.5000, 0.5000)
O (0.0000, 0.0000, 0.0000)
Ti (0.0000, 0.5000, 0.0000)
Ti (0.5000, 0.0000, 0.0000)

space group	No. 123
total magnetization	0.00	μB per formula unit

***

Density functional theory data (PBE-GGA) for a relaxed Li2TlAuO4 crystal.

abc: 5.5678 5.1528 5.1528
angles: 65.40 57.29 57.29
Atoms (fractional coordinates):
Li (0.2500, 0.2500, 0.2500)
Li (0.7500, 0.7500, 0.7500)
Tl (0.0000, 0.0000, 0.0000)
Au (0.5000, 0.5000, 0.5000)
O (0.3792, 0.1363, 0.6208)
O (0.1363, 0.8637, 0.3791)
O (0.8637, 0.6209, 0.1363)
O (0.6208, 0.3792, 0.8637)

space group	No. 121
total magnetization	0.00	μB per formula unit

***

| no. | formation energy without anion corrections (eV per atom) |
| --- | --- |
| 1 | -0.72 |
| 2 | -0.98 |
| 3 | 0.13 |
| 4 | -1.20 |
| 5 | -1.18 |
| 6 | -1.71 |
| 7 | -1.62 |
| 8 | -1.59 |
| 9 | -2.17 |
| 10 | -0.90 |
| 11 | -1.27 |
| 12 | -0.77 |